1.
This record from Alexandria via LeMat-Bulk describes a geometry-optimized YTaAl2O8 structure. The functional is PBE-GGA.

a = 6.7863 Å, b = 6.7863 Å, c = 6.3253 Å
α = 90.00°, β = 90.00°, γ = 90.00°
Space group I-4m2 (No. 119)
Inequivalent atoms, fractional coordinates:
1 Y 0.0000 0.0000 0.0000
2 Ta 0.0000 0.5000 0.7500
3 Al 0.0000 0.0000 0.5000
4 Al 0.0000 0.5000 0.2500
5 O 0.0000 0.2066 0.6715
6 O 0.0000 0.3238 0.0471

**V**: 291.3 Å³ per cell

=====

2.
This record from Alexandria via LeMat-Bulk describes a geometry-optimized Tb4Al2O9 structure. The functional is PBE-GGA.

a = 7.4708 Å, b = 10.5979 Å, c = 11.2586 Å
α = 90.00°, β = 108.64°, γ = 90.00°
Space group P2_1/c (No. 14)
Inequivalent atoms, fractional coordinates:
1 Tb 0.0228 0.0942 0.3062
2 Tb 0.1631 0.6215 0.5857
3 Tb 0.3385 0.1260 0.9368
4 Tb 0.4768 0.6082 0.2149
5 Al 0.2176 0.1814 0.6277
6 Al 0.3464 0.6794 0.8853
7 O 0.0729 0.2338 0.4804
8 O 0.0779 0.5057 0.3937
9 O 0.2117 0.7341 0.2528
10 O 0.2134 0.0194 0.6554
11 O 0.2305 0.2368 0.2680
12 O 0.3031 0.5213 0.8355
13 O 0.3615 0.7295 0.0374
14 O 0.4329 0.2411 0.6157
15 O 0.4358 0.5086 0.6069

**V**: 844.6 Å³ per cell

=====

3.
This record from Alexandria via LeMat-Bulk describes a geometry-optimized TbAlO structure. The functional is PBE-GGA.

a = 9.9157 Å, b = 3.0180 Å, c = 6.9935 Å
α = 90.00°, β = 90.00°, γ = 90.00°
Space group Amm2 (No. 38)
Inequivalent atoms, fractional coordinates:
1 Tb 0.2402 0.0000 0.0000
2 Al 0.0000 0.0000 0.6972
3 Al 0.5000 0.0000 0.7446
4 O 0.3738 0.0000 0.2724

**V**: 209.3 Å³ per cell

=====

| no. | VASP energy (eV per atom) | density of states at the Fermi level (states/eV per cell) | ΔE_f (raw) (eV per formula unit) |
| --- | --- | --- | --- |
| 1 | -8.0149 | 19.66 | -30.7 |
| 2 | -8.1106 | 0.00 | -51.0 |
| 3 | -5.8592 | 6.32 | -4.2 |